Material: YHRuRh2
Method: DFT, GGA-PBE
State: optimized geometry

Calculated values
**Total DFT energy (no corrections)**: -35.29 eV for the cell shown
**Symmetry**: P4/mmm

```
YHRuRh2
1.0
4.098 0.000 0.000
0.000 4.098 0.000
0.000 0.000 4.075
Y H Ru Rh
1 1 1 2
Cartesian
0.000 0.000 0.000 Y
2.049 2.049 2.037 H
2.049 2.049 0.000 Ru
0.000 2.049 2.037 Rh
2.049 0.000 2.037 Rh
```